Crystalline PmCdNi10 at its relaxed geometry. Source: Alexandria, functional PBE.

a = 4.0030 Å, b = 4.8442 Å, c = 8.3859 Å
α = 90.00°, β = 90.00°, γ = 90.00°
Closest atoms and distances in Å follow each position.
Sites, in units of the cell vectors:
Pm  0.0000  0.0000  0.0000  18 Ni 2.84-3.16
Cd  0.0000  0.5000  0.5000  6 Ni 2.70-2.76
Ni  0.0000  0.0000  0.3410  7 Ni 2.41-2.67
Ni  0.0000  0.5000  0.8222  6 Ni 2.42-2.50, 1 Cd 2.70
Ni  0.0000  0.5000  0.1778  6 Ni 2.42-2.50, 1 Cd 2.70
Ni  0.0000  0.0000  0.6590  7 Ni 2.41-2.67
Ni  0.5000  0.0000  0.5000  8 Ni 2.40-2.41
Ni  0.5000  0.5000  0.0000  8 Ni 2.44-2.50
Ni  0.5000  0.2514  0.2535  8 Ni 2.40-2.45
Ni  0.5000  0.7486  0.7465  8 Ni 2.40-2.45
Ni  0.5000  0.7486  0.2535  8 Ni 2.40-2.45
Ni  0.5000  0.2514  0.7465  8 Ni 2.40-2.45

Values from the calculation:
Symmetry: Pmmm
Spin magnetization (Bohr magnetons per cell): 3.86
VASP energy (eV per atom): -5.369